Entry A
Density functional theory data (PBE) for an optimized crystal structure of Zn2HRh.

M_tot ... 0.00 Bohr magnetons per cell
Space-group type ... Fm-3m (225)
Fermi-level density of states ... 2.1 states/eV/f.u.

a b c (Å): 4.173 4.173 4.173
angles (deg): 60.00 60.00 60.00
Fractional coordinates of all 4 atoms:
H 0.000 0.000 0.000
Rh 0.500 0.500 0.500
Zn 0.250 0.250 0.250
Zn 0.750 0.750 0.750

---

Entry B
Density functional theory data (PBE) for an optimized crystal structure of Zn2HRh.

M_tot ... 0.00 Bohr magnetons per cell
Space-group type ... I-42d (122)
Fermi-level density of states ... 1.1 states/eV/f.u.

a b c (Å): 6.421 6.421 5.065
angles (deg): 50.67 50.67 90.00
Fractional coordinates of all 8 atoms:
H 0.500 0.500 0.000
H 0.250 0.750 0.500
Rh 0.750 0.250 0.500
Rh 0.000 0.000 0.000
Zn 0.545 0.125 0.250
Zn 0.375 0.455 0.750
Zn 0.205 0.625 0.250
Zn 0.875 0.795 0.750

---

Tell me which of them is the least stable. Sure, it is entry A.

---

Entry A
Density functional theory data (PBE) for an optimized crystal structure of ZrHRh3.

M_tot ... 0.00 Bohr magnetons per cell
Space-group type ... Cmcm (63)
Fermi-level density of states ... 4.8 states/eV/f.u.

a b c (Å): 7.199 7.199 4.940
angles (deg): 90.00 90.00 136.65
Fractional coordinates of all 10 atoms:
H 0.441 0.559 0.250
H 0.559 0.441 0.750
Rh 0.604 0.890 0.250
Rh 0.000 0.000 0.500
Rh 0.890 0.604 0.750
Rh 0.396 0.110 0.750
Rh 0.000 0.000 0.000
Rh 0.110 0.396 0.250
Zr 0.815 0.185 0.750
Zr 0.185 0.815 0.250

---

Entry B
Density functional theory data (PBE) for an optimized crystal structure of ZrHRh3.

M_tot ... 0.00 Bohr magnetons per cell
Space-group type ... Pm-3m (221)
Fermi-level density of states ... 2.8 states/eV/f.u.

a b c (Å): 4.008 4.008 4.008
angles (deg): 90.00 90.00 90.00
Fractional coordinates of all 5 atoms:
Rh 0.000 0.000 0.500
Rh 0.500 0.000 0.000
Rh 0.000 0.500 0.000
Zr 0.500 0.500 0.500
H 0.000 0.000 0.000

---

Entry C
Density functional theory data (PBE) for an optimized crystal structure of ZrHRh3.

M_tot ... 0.00 Bohr magnetons per cell
Space-group type ... C2/m (12)
Fermi-level density of states ... 4.0 states/eV/f.u.

a b c (Å): 22.024 4.043 8.194
angles (deg): 90.00 158.51 90.00
Fractional coordinates of all 20 atoms:
H 0.500 0.262 0.500
H 0.000 0.762 0.000
H 0.500 0.738 0.500
H 0.000 0.238 0.000
Rh 0.628 0.000 0.951
Rh 0.137 0.000 0.205
Rh 0.863 0.000 0.795
Rh 0.630 0.000 0.446
Rh 0.637 0.500 0.705
Rh 0.872 0.500 0.549
Rh 0.128 0.500 0.451
Rh 0.363 0.500 0.295
Rh 0.370 0.000 0.554
Rh 0.130 0.500 0.946
Rh 0.870 0.500 0.054
Rh 0.372 0.000 0.049
Zr 0.371 0.500 0.816
Zr 0.629 0.500 0.184
Zr 0.871 0.000 0.316
Zr 0.129 0.000 0.684

---

Tell me which of them is the least stable. Sure, it is entry A.

---

Entry A
Density functional theory data (PBE) for an optimized crystal structure of H2RuS.

M_tot ... 0.00 Bohr magnetons per cell
Space-group type ... I4_1/amd (141)
Fermi-level density of states ... 1.4 states/eV/f.u.

a b c (Å): 3.417 3.417 7.025
angles (deg): 75.92 75.92 90.00
Fractional coordinates of all 8 atoms:
H 0.375 0.125 0.750
H 0.875 0.125 0.250
H 0.875 0.625 0.250
H 0.875 0.125 0.750
S 0.500 0.500 0.000
S 0.250 0.750 0.500
Ru 0.000 0.000 0.000
Ru 0.750 0.250 0.500

---

Entry B
Density functional theory data (PBE) for an optimized crystal structure of H2RuS.

M_tot ... 0.00 Bohr magnetons per cell
Space-group type ... Cm (8)
Fermi-level density of states ... 0.1 states/eV/f.u.

a b c (Å): 4.254 2.918 7.862
angles (deg): 90.00 95.43 90.00
Fractional coordinates of all 8 atoms:
Ru 0.062 0.500 0.464
Ru 0.062 0.000 0.964
H 0.421 0.500 0.430
H 0.271 0.500 0.043
H 0.271 0.000 0.543
H 0.421 0.000 0.930
S 0.940 0.500 0.744
S 0.940 0.000 0.244

---

Entry C
Density functional theory data (PBE) for an optimized crystal structure of H2RuS.

M_tot ... 0.00 Bohr magnetons per cell
Space-group type ... P1 (1)

a b c (Å): 2.953 3.339 5.651
angles (deg): 85.30 79.73 63.81
Fractional coordinates of all 4 atoms:
H 0.691 0.424 0.363
H 0.208 0.333 0.446
S 0.329 0.802 0.868
Ru 0.717 0.190 0.629

---

Tell me which of them is the least stable. Sure, it is entry A.

---

Entry A
Density functional theory data (PBE) for an optimized crystal structure of H2RuS.

M_tot ... 0.00 Bohr magnetons per cell
Space-group type ... Amm2 (38)
Fermi-level density of states ... 1.6 states/eV/f.u.

a b c (Å): 3.311 4.372 3.318
angles (deg): 90.00 106.00 90.00
Fractional coordinates of all 4 atoms:
Ru 0.028 0.500 0.403
H 0.228 0.500 0.932
H 0.558 0.500 0.604
S 0.991 0.000 0.365

---

Entry B
Density functional theory data (PBE) for an optimized crystal structure of H2RuS.

M_tot ... 0.00 Bohr magnetons per cell
Space-group type ... Pm (6)
Fermi-level density of states ... 1.3 states/eV/f.u.

a b c (Å): 3.380 2.996 4.306
angles (deg): 90.00 112.73 90.00
Fractional coordinates of all 4 atoms:
Ru 0.655 0.000 0.401
H 0.434 0.500 0.485
H 0.957 0.500 0.482
S 0.953 0.000 0.993

---

Tell me which of them is the least stable. Sure, it is entry A.

---

Entry A
Density functional theory data (PBE) for an optimized crystal structure of H2RuS.

M_tot ... 0.00 Bohr magnetons per cell
Space-group type ... Pmm2 (25)
Fermi-level density of states ... 1.2 states/eV/f.u.

a b c (Å): 3.025 3.656 3.579
angles (deg): 90.00 90.00 90.00
Fractional coordinates of all 4 atoms:
S 0.500 0.000 0.913
H 0.500 0.000 0.292
H 0.000 0.500 0.295
Ru 0.000 0.500 0.805

---

Entry B
Density functional theory data (PBE) for an optimized crystal structure of H2RuS.

M_tot ... 0.00 Bohr magnetons per cell
Space-group type ... Fm-3m (225)
Fermi-level density of states ... 3.4 states/eV/f.u.

a b c (Å): 3.671 3.671 3.671
angles (deg): 60.00 60.00 60.00
Fractional coordinates of all 4 atoms:
H 0.250 0.250 0.250
H 0.750 0.750 0.750
S 0.000 0.000 0.000
Ru 0.500 0.500 0.500

---

Tell me which of them is the least stable. Sure, it is entry B.

---

Entry A
Density functional theory data (PBE) for an optimized crystal structure of H2RuS2.

M_tot ... 0.00 Bohr magnetons per cell
Space-group type ... I4/mmm (139)
Fermi-level density of states ... 0.4 states/eV/f.u.

a b c (Å): 4.314 4.314 4.204
angles (deg): 59.14 59.14 90.00
Fractional coordinates of all 5 atoms:
S 0.750 0.250 0.500
S 0.250 0.750 0.500
H 0.297 0.297 0.406
H 0.703 0.703 0.594
Ru 0.000 0.000 0.000

---

Entry B
Density functional theory data (PBE) for an optimized crystal structure of H2RuS2.

M_tot ... 0.00 Bohr magnetons per cell
Space-group type ... P4/mbm (127)
Fermi-level density of states ... 3.0 states/eV/f.u.

a b c (Å): 6.242 6.242 2.933
angles (deg): 90.00 90.00 90.00
Fractional coordinates of all 10 atoms:
S 0.289 0.211 0.500
S 0.211 0.711 0.500
S 0.789 0.289 0.500
S 0.711 0.789 0.500
H 0.800 0.700 0.000
H 0.200 0.300 0.000
H 0.300 0.800 0.000
H 0.700 0.200 0.000
Ru 0.000 0.000 0.000
Ru 0.500 0.500 0.000

---

Tell me which of them is the least stable. Sure, it is entry B.